1.
# Y2HgB2Rh5, optimized geometry, DFT PBE-GGA
data_Y2HgB2Rh5
_space_group_name_H-M_alt 'P 4/m b m'
_space_group_IT_number 127
_space_group_name_Hall '-P 4 2ab'
_cell_length_a 9.708
_cell_length_b 9.708
_cell_length_c 3.233
_cell_angle_alpha 90.00
_cell_angle_beta 90.00
_cell_angle_gamma 90.00
loop_
_atom_site_label
_atom_site_fract_x
_atom_site_fract_y
_atom_site_fract_z
Y1 0.176 0.324 0.000
Hg1 0.000 0.000 0.000
B1 0.122 0.622 0.000
Rh1 0.000 0.500 0.500
Rh2 0.070 0.771 0.500
# Calculated formation energy, meV/atom: -670
# DOS(E_F), states/eV per atom: 0.441

2.
# Hg3BRu, optimized geometry, DFT PBE-GGA
data_Hg3BRu
_space_group_name_H-M_alt 'P m -3 m'
_space_group_IT_number 221
_space_group_name_Hall '-P 4 2 3'
_cell_length_a 4.546
_cell_length_b 4.546
_cell_length_c 4.546
_cell_angle_alpha 90.00
_cell_angle_beta 90.00
_cell_angle_gamma 90.00
loop_
_atom_site_label
_atom_site_fract_x
_atom_site_fract_y
_atom_site_fract_z
Hg1 0.000 0.000 0.500
B1 0.000 0.000 0.000
Ru1 0.500 0.500 0.500
# Calculated formation energy, meV/atom: 1110
# DOS(E_F), states/eV per atom: 1.443
# Energy above the most stable polymorph in this dataset, eV/f.u.: 0.00

3.
# Hg3BRu, optimized geometry, DFT PBE-GGA
data_Hg3BRu
_space_group_name_H-M_alt 'P m -3 m'
_space_group_IT_number 221
_space_group_name_Hall '-P 4 2 3'
_cell_length_a 5.234
_cell_length_b 5.234
_cell_length_c 5.234
_cell_angle_alpha 90.00
_cell_angle_beta 90.00
_cell_angle_gamma 90.00
loop_
_atom_site_label
_atom_site_fract_x
_atom_site_fract_y
_atom_site_fract_z
Hg1 0.000 0.000 0.500
B1 0.500 0.500 0.500
Ru1 0.000 0.000 0.000
# Calculated formation energy, meV/atom: 1508
# DOS(E_F), states/eV per atom: 0.777
# Energy above the most stable polymorph in this dataset, eV/f.u.: 1.99

4.
# Hg2B2Ru, optimized geometry, DFT PBE-GGA
data_Hg2B2Ru
_space_group_name_H-M_alt 'P 4/m b m'
_space_group_IT_number 127
_space_group_name_Hall '-P 4 2ab'
_cell_length_a 7.086
_cell_length_b 7.086
_cell_length_c 3.004
_cell_angle_alpha 90.00
_cell_angle_beta 90.00
_cell_angle_gamma 90.00
loop_
_atom_site_label
_atom_site_fract_x
_atom_site_fract_y
_atom_site_fract_z
Hg1 0.139 0.361 0.000
B1 0.177 0.677 0.500
Ru1 0.000 0.000 0.000
# Calculated formation energy, meV/atom: 1684
# DOS(E_F), states/eV per atom: 0.744
# Energy above the most stable polymorph in this dataset, eV/f.u.: 2.93

Question: The lowest calculated formation energy belongs to which entry?
Answer: Y2HgB2Rh5